The following is a DFT calculation (PBE) of LaYHoTh2 after structural relaxation.

Values from the calculation:
total magnetic moment: 0.021 Bohr magnetons per cell
calculated formation energy: 0.364 eV per atom
density: 8.0 Mg/m³

Cell lengths 6.727, 15.781, 6.728 Å; angles 90.00, 90.00, 90.00 degrees
Space group Cmcm (No. 63)
One atom of each set of equivalent atoms:
La  0.000  0.249  0.250
Y  0.000  0.151  0.750
Ho  0.000  0.350  0.750
Th  0.250  0.000  0.000



The following is a DFT calculation (PBE) of PrYTh2 after structural relaxation.

Values from the calculation:
total magnetic moment: 0.000 Bohr magnetons per cell
calculated formation energy: 0.168 eV per atom
density: 8.7 Mg/m³
energy above the most stable polymorph in this dataset: 0.56 eV/f.u.

Cell lengths 4.251, 4.251, 7.332 Å; angles 90.00, 90.00, 90.00 degrees
Space group P4/mmm (No. 123)
One atom of each set of equivalent atoms:
Pr  0.000  0.000  0.000
Y  0.000  0.000  0.500
Th  0.500  0.500  0.256



The following is a DFT calculation (PBE) of CeAlGaPd3 after structural relaxation.

Values from the calculation:
total magnetic moment: 3.030 Bohr magnetons per cell
calculated formation energy: -0.598 eV per atom
density: 7.9 Mg/m³

Cell lengths 6.680, 12.055, 5.808 Å; angles 90.00, 90.00, 90.00 degrees
Space group Cmcm (No. 63)
One atom of each set of equivalent atoms:
Ce  0.000  0.208  0.250
Al  0.000  0.127  0.750
Ga  0.000  0.453  0.250
Pd  0.000  0.330  0.750
Pd  0.208  0.000  0.000



The following is a DFT calculation (PBE) of HfBe2Cl after structural relaxation.

Values from the calculation:
total magnetic moment: 0.000 Bohr magnetons per cell
density: 6.4 Mg/m³
energy above the most stable polymorph in this dataset: 0.00 eV/f.u.
energy relative to the elements, uncorrected: 180.2 kJ/mol of formula units

Cell lengths 7.010, 7.010, 4.922 Å; angles 90.00, 90.00, 90.00 degrees
Space group I-42d (No. 122)
One atom of each set of equivalent atoms:
Hf  0.000  0.000  0.000
Be  0.223  0.250  0.625
Cl  0.000  0.000  0.500